1.
The following is a DFT calculation (PBE) of an optimized crystal structure of La2ClO2.

Crystal system: hexagonal
Calculated density, Mg/m³: 5.4
Density of states at the Fermi level, states/eV/atom: 0.286

a b c (Å): 4.102 4.102 14.654
angles (deg): 90.00 90.00 120.00
Element x y z (fractional)
La  0.333  0.667  0.095
La  0.333  0.667  0.405
La  0.667  0.333  0.595
La  0.667  0.333  0.905
Cl  0.000  0.000  0.250
Cl  0.000  0.000  0.750
O  0.333  0.667  0.568
O  0.333  0.667  0.932
O  0.667  0.333  0.068
O  0.667  0.333  0.432

---

2.
The following is a DFT calculation (PBE) of an optimized crystal structure of La2ClO2.

Crystal system: triclinic
Calculated density, Mg/m³: 5.2
Density of states at the Fermi level, states/eV/atom: 0.216

a b c (Å): 6.079 6.306 7.031
angles (deg): 110.48 109.33 103.10
Element x y z (fractional)
La  0.074  0.437  0.253
La  0.321  0.184  0.747
La  0.679  0.816  0.253
La  0.926  0.563  0.747
Cl  0.315  0.065  0.130
Cl  0.685  0.935  0.870
O  0.006  0.756  0.512
O  0.247  0.496  0.993
O  0.753  0.504  0.007
O  0.994  0.244  0.488

---

Stability, lowest: 2